1.
A relaxed DyYI2O2 crystal, computed with PBE.

Cell: 3.9336 3.9336 9.1958 Å, 90.00 90.00 90.00°
With the nearest neighbours (Å) after each atom.
Atoms (fractional coordinates):
Dy: 0.0000 0.0000 0.0000  4 O 2.25
Y: 0.5000 0.5000 0.7620  4 O 2.25
I: 0.0000 0.0000 0.5552  4 Y 3.37, 4 O 3.59
I: 0.5000 0.5000 0.2071  4 Dy 3.37, 4 O 3.58
O: 0.0000 0.5000 0.8819  2 Dy 2.25, 2 Y 2.25
O: 0.5000 0.0000 0.8819  2 Dy 2.25, 2 Y 2.25

Calculated values
Total moment in Bohr magnetons per cell: 0.0
Uncorrected energy in eV/atom: -6.7199

=====

2.
A relaxed PrDyPI2 crystal, computed with PBE.

Cell: 4.1816 4.1816 11.0504 Å, 90.00 90.00 120.00°
With the nearest neighbours (Å) after each atom.
Atoms (fractional coordinates):
Pr: 0.0000 0.0000 0.0000  3 P 2.92, 3 I 3.24
Dy: 0.6667 0.3333 0.7217  3 P 2.81
P: 0.3333 0.6667 0.8512  3 Dy 2.81, 3 Pr 2.92
I: 0.0000 0.0000 0.5386  3 Dy 3.15
I: 0.6667 0.3333 0.1957  3 Pr 3.24

Calculated values
Total moment in Bohr magnetons per cell: 0.0
Uncorrected energy in eV/atom: -5.1003

=====

3.
A relaxed DyYPI2 crystal, computed with PBE.

Cell: 4.1037 4.1037 10.8045 Å, 90.00 90.00 120.00°
With the nearest neighbours (Å) after each atom.
Atoms (fractional coordinates):
Dy: 0.0000 0.0000 0.0000  3 P 2.79
Y: 0.3333 0.6667 0.2746  3 P 2.80
P: 0.6667 0.3333 0.1367  3 Dy 2.79, 3 Y 2.80
I: 0.0000 0.0000 0.4647  3 Y 3.14
I: 0.3333 0.6667 0.8103  3 Dy 3.13

Calculated values
Total moment in Bohr magnetons per cell: 0.0
Uncorrected energy in eV/atom: -5.4449

=====

4.
A relaxed DySbPbI2 crystal, computed with PBE.

Cell: 4.4492 4.4492 11.4887 Å, 90.00 90.00 120.00°
With the nearest neighbours (Å) after each atom.
Atoms (fractional coordinates):
Dy: 0.0000 0.0000 0.0000  3 Sb 3.04, 3 I 3.19
Sb: 0.6667 0.3333 0.1418  3 Dy 3.04, 3 Pb 3.23
Pb: 0.3333 0.6667 0.3130  3 Sb 3.23, 3 I 3.27
I: 0.0000 0.0000 0.4892  3 Pb 3.27
I: 0.3333 0.6667 0.8350  3 Dy 3.19

Calculated values
Total moment in Bohr magnetons per cell: 0.0
Uncorrected energy in eV/atom: -3.9320